Entry 1:
Below is an optimized crystal structure of RbTaOF2, with properties calculated at the PBEsol level.

Results
The calculation puts the calculated total energy at -6.755 eV per atom. As for the crystal system: tetragonal. The calculation puts the spin magnetization at 1.32 μB/f.u.

Cell lengths 4.3331, 4.3331, 3.9734 Å; angles 90.00, 90.00, 90.00 degrees
Space group P4/mmm (No. 123)
Unique sites:
Rb  0.0000  0.0000  0.0000 x1
Ta  0.5000  0.5000  0.5000 x1
O  0.5000  0.5000  0.0000 x1
F  0.0000  0.5000  0.5000 x2


Entry 2:
Below is an optimized crystal structure of RbTiZnOF5, with properties calculated at the PBEsol level.

Results
The calculation puts the calculated total energy at -5.746 eV per atom. As for the crystal system: orthorhombic. The calculation puts the spin magnetization at 0.00 μB/f.u.

Cell lengths 7.1885, 7.2371, 10.4055 Å; angles 90.00, 90.00, 90.00 degrees
Space group Imma (No. 74)
Unique sites:
Rb  0.0000  0.2500  0.1328 x4
Ti  0.0000  0.0000  0.5000 x4
Zn  0.2500  0.2500  0.7500 x4
O  0.0000  0.2500  0.4654 x4
F  0.0000  0.2500  0.8276 x4
F  0.1920  0.0322  0.6283 x16


Entry 3:
Below is an optimized crystal structure of RbVOF3, with properties calculated at the PBEsol level.

Results
The calculation puts the calculated total energy at -6.388 eV per atom. As for the crystal system: orthorhombic. The calculation puts the spin magnetization at 1.00 μB/f.u.

Cell lengths 6.7121, 14.7911, 3.8613 Å; angles 90.00, 90.00, 90.00 degrees
Space group Pbam (No. 55)
Unique sites:
Rb  0.1902  0.1669  0.0000 x4
V  0.1560  0.4123  0.5000 x4
O  0.1096  0.8905  0.5000 x4
F  0.0318  0.2979  0.5000 x4
F  0.1092  0.4134  0.0000 x4
F  0.1566  0.5436  0.5000 x4


Entry 4:
Below is an optimized crystal structure of RbWO2F, with properties calculated at the PBEsol level.

Results
The calculation puts the calculated total energy at -4.122 eV per atom. As for the crystal system: tetragonal. The calculation puts the spin magnetization at 3.68 μB/f.u.

Cell lengths 4.3242, 4.3242, 4.5660 Å; angles 90.00, 90.00, 90.00 degrees
Space group P4/mmm (No. 123)
Unique sites:
Rb  0.0000  0.0000  0.0000 x1
W  0.5000  0.5000  0.5000 x1
O  0.0000  0.5000  0.0000 x2
F  0.0000  0.0000  0.5000 x1


Entry 5:
Below is an optimized crystal structure of Rb2Zr3OF12, with properties calculated at the PBEsol level.

Results
The calculation puts the calculated total energy at -6.826 eV per atom. As for the crystal system: trigonal. The calculation puts the spin magnetization at 0.04 μB/f.u.

Cell lengths 7.7135, 7.7135, 29.6653 Å; angles 90.00, 90.00, 120.00 degrees
Space group R-3m (No. 166, hexagonal axes)
Unique sites:
Rb  0.0000  0.0000  0.0000 x3
Rb  0.0000  0.0000  0.1376 x6
Rb  0.0000  0.0000  0.5000 x3
Zr  0.0311  0.5156  0.9395 x18
O  0.0000  0.0000  0.2876 x6
F  0.0000  0.3509  0.0000 x18
F  0.0061  0.5030  0.5920 x18
F  0.0448  0.5224  0.8726 x18
F  0.1092  0.5546  0.2609 x18


Entry 6:
Below is an optimized crystal structure of RbZrOF2, with properties calculated at the PBEsol level.

Results
The calculation puts the calculated total energy at -6.690 eV per atom. As for the crystal system: tetragonal. The calculation puts the spin magnetization at 0.96 μB/f.u.

Cell lengths 4.3934, 4.3934, 4.1144 Å; angles 90.00, 90.00, 90.00 degrees
Space group P4/mmm (No. 123)
Unique sites:
Rb  0.0000  0.0000  0.0000 x1
Zr  0.5000  0.5000  0.5000 x1
O  0.5000  0.5000  0.0000 x1
F  0.0000  0.5000  0.5000 x2


Entry 7:
Below is an optimized crystal structure of ReO3F, with properties calculated at the PBEsol level.

Results
The calculation puts the calculated total energy at -7.833 eV per atom. As for the crystal system: monoclinic. The calculation puts the spin magnetization at 0.03 μB/f.u.

Cell lengths 6.8207, 6.2436, 10.7466 Å; angles 90.00, 90.41, 90.00 degrees
Space group P2/c (No. 13)
Unique sites:
Re  0.0000  0.0403  0.2500 x2
Re  0.3349  0.2806  0.8579 x4
O  0.1452  0.2084  0.1665 x4
O  0.1677  0.0415  0.8836 x4
O  0.1901  0.4898  0.9006 x4
O  0.4832  0.2407  0.9840 x4
O  0.5000  0.4386  0.7500 x2
F  0.1661  0.2330  0.6903 x4
F  0.5000  0.0548  0.7500 x2


Entry 8:
Below is an optimized crystal structure of ReO2F3, with properties calculated at the PBEsol level.

Results
The calculation puts the calculated total energy at -6.846 eV per atom. As for the crystal system: orthorhombic. The calculation puts the spin magnetization at 0.00 μB/f.u.

Cell lengths 11.2830, 10.2999, 13.6355 Å; angles 90.00, 90.00, 90.00 degrees
Space group Cmce (No. 64)
Unique sites:
Re  0.0000  0.1668  0.1768 x8
Re  0.2384  0.0000  0.5000 x8
O  0.1172  0.2319  0.2371 x16
O  0.1441  0.0661  0.4168 x16
F  0.0000  0.0045  0.2357 x8
F  0.0000  0.2207  0.5699 x8
F  0.1158  0.0662  0.0819 x16
F  0.2250  0.1496  0.9306 x16